Entry from Alexandria via LeMat-Bulk: an optimized crystal structure of Y2OsPb (PBE-GGA).

```
Y2OsPb
1.0
-4.0341 4.0341 3.2528
4.0341 -4.0341 3.2528
4.0341 4.0341 -3.2528
Y Os Pb
4 2 2
Direct
0.0693 0.6250 0.9443
0.3750 0.3193 0.4443
0.6807 0.1250 0.0557
0.8750 0.9307 0.5557
0.0000 0.0000 0.0000
0.7500 0.2500 0.5000
0.2500 0.7500 0.5000
0.5000 0.5000 0.0000
```

## Properties
- electronic total energy (eV per formula unit) = -27.244
- E_form (eV per atom) = 0.156
- symmetry = I-42d (122)
- N(E_F) (states/eV/atom) = 0.583
- spin magnetization (Bohr magnetons per cell) = 0.0